{
  "formula": "Ti4CdPd5",
  "functional": "PBE",
  "state": "optimized geometry",
  "dos_at_fermi_per_ev_atom": 0.810,
  "formation_energy_ev_per_atom": -0.233,
  "polymorph_energy_mev_per_atom": 277.2,
  "magnetic_moment_mub_per_cell": 0.0,
  "mass_density_g_cm3": 7.97,
  "lattice": [[-4.008, 4.008, 2.710], [4.008, -4.008, 2.710], [4.008, 4.008, -2.710]],
  "species": ["Ti", "Ti", "Ti", "Ti", "Cd", "Pd", "Pd", "Pd", "Pd", "Pd"],
  "frac_coords": [[0.078, 0.693, 0.770], [0.307, 0.078, 0.385], [0.693, 0.922, 0.615], [0.922, 0.307, 0.230], [0.278, 0.278, 0.000], [0.238, 0.413, 0.620], [0.413, 0.794, 0.175], [0.619, 0.238, 0.825], [0.794, 0.619, 0.380], [0.799, 0.799, 0.000]]
}


{
  "formula": "TiCd3Pd12",
  "functional": "PBE",
  "state": "optimized geometry",
  "dos_at_fermi_per_ev_atom": 1.274,
  "formation_energy_ev_per_atom": -0.346,
  "magnetic_moment_mub_per_cell": 0.0,
  "mass_density_g_cm3": 10.73,
  "lattice": [[3.993, 0.000, 0.000], [0.000, 3.993, 0.000], [0.000, 0.000, 16.134]],
  "species": ["Ti", "Cd", "Cd", "Cd", "Pd", "Pd", "Pd", "Pd", "Pd", "Pd", "Pd", "Pd", "Pd", "Pd", "Pd", "Pd"],
  "frac_coords": [[0.000, 0.000, 0.000], [0.000, 0.000, 0.247], [0.000, 0.000, 0.500], [0.000, 0.000, 0.753], [0.000, 0.500, 0.117], [0.000, 0.500, 0.373], [0.000, 0.500, 0.627], [0.000, 0.500, 0.883], [0.500, 0.000, 0.117], [0.500, 0.000, 0.373], [0.500, 0.000, 0.627], [0.500, 0.000, 0.883], [0.500, 0.500, 0.000], [0.500, 0.500, 0.244], [0.500, 0.500, 0.500], [0.500, 0.500, 0.756]]
}


{
  "formula": "Ti2CdPd2",
  "functional": "PBE",
  "state": "optimized geometry",
  "dos_at_fermi_per_ev_atom": 0.085,
  "formation_energy_ev_per_atom": -0.203,
  "magnetic_moment_mub_per_cell": 0.0,
  "mass_density_g_cm3": 7.28,
  "lattice": [[-2.158, 2.158, 5.153], [2.158, -2.158, 5.153], [2.158, 2.158, -5.153]],
  "species": ["Ti", "Ti", "Cd", "Pd", "Pd"],
  "frac_coords": [[0.250, 0.750, 0.500], [0.750, 0.250, 0.500], [0.000, 0.000, 0.000], [0.377, 0.377, 0.000], [0.623, 0.623, 0.000]]
}


{
  "formula": "TiCd2Pd5",
  "functional": "PBE",
  "state": "optimized geometry",
  "dos_at_fermi_per_ev_atom": 0.501,
  "formation_energy_ev_per_atom": -0.477,
  "magnetic_moment_mub_per_cell": 0.0,
  "mass_density_g_cm3": 10.24,
  "lattice": [[-2.044, 2.044, 7.813], [2.044, -2.044, 7.813], [2.044, 2.044, -7.813]],
  "species": ["Ti", "Cd", "Cd", "Pd", "Pd", "Pd", "Pd", "Pd"],
  "frac_coords": [[0.000, 0.000, 0.000], [0.254, 0.254, 0.000], [0.746, 0.746, 0.000], [0.118, 0.618, 0.500], [0.382, 0.882, 0.500], [0.500, 0.500, 0.000], [0.618, 0.118, 0.500], [0.882, 0.382, 0.500]]
}